Entry 1:
Compound: SrBeS2N
Source: the Alexandria database
Functional: PBE
Structure: optimized geometry

Results
M_tot (μB/cell): 3.30
Space-group type: P4/mmm, No. 123
Mass density (g/cm3): 1.92
Formation energy from raw total energies (meV per atom): 1343

```
data_SrBeS2N
_space_group_name_H-M_alt 'P 1'
_space_group_IT_number 1
_space_group_name_Hall 'P 1'
_cell_length_a 5.6032
_cell_length_b 5.6032
_cell_length_c 4.8056
_cell_angle_alpha 90.00
_cell_angle_beta 90.00
_cell_angle_gamma 90.00
loop_
_atom_site_label
_atom_site_fract_x
_atom_site_fract_y
_atom_site_fract_z
_atom_site_occupancy
Sr1 0.0000 0.0000 0.0000 1
Be1 0.5000 0.5000 0.5000 1
S1 0.0000 0.5000 0.0000 1
S2 0.5000 0.0000 0.0000 1
N1 0.0000 0.0000 0.5000 1
```

=====

Entry 2:
Compound: BSb2TeSe
Source: the Alexandria database
Functional: PBE
Structure: optimized geometry

Results
M_tot (μB/cell): 0.00
Space-group type: P4/mmm, No. 123
Mass density (g/cm3): 4.75
Formation energy from raw total energies (meV per atom): 1503

```
data_BSb2TeSe
_space_group_name_H-M_alt 'P 1'
_space_group_IT_number 1
_space_group_name_Hall 'P 1'
_cell_length_a 5.4332
_cell_length_b 5.4332
_cell_length_c 5.4558
_cell_angle_alpha 90.00
_cell_angle_beta 90.00
_cell_angle_gamma 90.00
loop_
_atom_site_label
_atom_site_fract_x
_atom_site_fract_y
_atom_site_fract_z
_atom_site_occupancy
B1 0.0000 0.0000 0.0000 1
Sb1 0.0000 0.5000 0.5000 1
Sb2 0.5000 0.0000 0.5000 1
Te1 0.5000 0.5000 0.0000 1
Se1 0.5000 0.5000 0.5000 1
```

=====

Entry 3:
Compound: TcSbTe2H
Source: the Alexandria database
Functional: PBE
Structure: optimized geometry

Results
M_tot (μB/cell): 0.51
Space-group type: P4/mmm, No. 123
Mass density (g/cm3): 5.49
Uncorrected energy (eV per atom): -3.94

```
data_TcSbTe2H
_space_group_name_H-M_alt 'P 1'
_space_group_IT_number 1
_space_group_name_Hall 'P 1'
_cell_length_a 5.2644
_cell_length_b 5.2644
_cell_length_c 5.1908
_cell_angle_alpha 90.00
_cell_angle_beta 90.00
_cell_angle_gamma 90.00
loop_
_atom_site_label
_atom_site_fract_x
_atom_site_fract_y
_atom_site_fract_z
_atom_site_occupancy
Tc1 0.0000 0.0000 0.0000 1
Sb1 0.0000 0.0000 0.5000 1
Te1 0.0000 0.5000 0.0000 1
Te2 0.5000 0.0000 0.0000 1
H1 0.5000 0.5000 0.5000 1
```

=====

Entry 4:
Compound: La4Ga3Ag
Source: the Alexandria database
Functional: PBE
Structure: optimized geometry

Results
M_tot (μB/cell): 0.00
Space-group type: Pmma, No. 51
Mass density (g/cm3): 6.65
Formation energy (kcal/mol of atoms): -11.316

```
data_La4Ga3Ag
_space_group_name_H-M_alt 'P 1'
_space_group_IT_number 1
_space_group_name_Hall 'P 1'
_cell_length_a 10.6578
_cell_length_b 7.6685
_cell_length_c 5.3292
_cell_angle_alpha 90.00
_cell_angle_beta 90.00
_cell_angle_gamma 90.00
loop_
_atom_site_label
_atom_site_fract_x
_atom_site_fract_y
_atom_site_fract_z
_atom_site_occupancy
La1 0.0000 0.2452 0.0000 1
La2 0.0000 0.7548 0.0000 1
La3 0.2500 0.2452 0.4990 1
La4 0.2500 0.7548 0.4990 1
La5 0.5000 0.2452 0.0000 1
La6 0.5000 0.7548 0.0000 1
La7 0.7500 0.2452 0.5010 1
La8 0.7500 0.7548 0.5010 1
Ga1 0.0000 0.0000 0.5000 1
Ga2 0.2500 0.0000 0.9984 1
Ga3 0.2500 0.5000 0.9994 1
Ga4 0.5000 0.0000 0.5000 1
Ga5 0.7500 0.0000 0.0016 1
Ga6 0.7500 0.5000 0.0006 1
Ag1 0.0000 0.5000 0.5000 1
Ag2 0.5000 0.5000 0.5000 1
```

=====

Entry 5:
Compound: Ca2YGeW
Source: the Alexandria database
Functional: PBE
Structure: optimized geometry

Results
M_tot (μB/cell): 0.00
Space-group type: P4/mmm, No. 123
Mass density (g/cm3): 4.40
Formation energy (kcal/mol of atoms): 20.959

```
data_Ca2YGeW
_space_group_name_H-M_alt 'P 1'
_space_group_IT_number 1
_space_group_name_Hall 'P 1'
_cell_length_a 5.5043
_cell_length_b 5.5043
_cell_length_c 5.3021
_cell_angle_alpha 90.00
_cell_angle_beta 90.00
_cell_angle_gamma 90.00
loop_
_atom_site_label
_atom_site_fract_x
_atom_site_fract_y
_atom_site_fract_z
_atom_site_occupancy
Ca1 0.0000 0.5000 0.0000 1
Ca2 0.5000 0.0000 0.0000 1
Y1 0.0000 0.0000 0.5000 1
Ge1 0.5000 0.5000 0.5000 1
W1 0.0000 0.0000 0.0000 1
```

=====

Entry 6:
Compound: Al2ZnNi
Source: the Alexandria database
Functional: PBE
Structure: optimized geometry

Results
M_tot (μB/cell): 0.00
Space-group type: C2/m, No. 12
Mass density (g/cm3): 5.30
Formation energy (kcal/mol of atoms): -4.802

```
data_Al2ZnNi
_space_group_name_H-M_alt 'P 1'
_space_group_IT_number 1
_space_group_name_Hall 'P 1'
_cell_length_a 4.4909
_cell_length_b 4.4909
_cell_length_c 4.7072
_cell_angle_alpha 100.55
_cell_angle_beta 100.55
_cell_angle_gamma 36.75
loop_
_atom_site_label
_atom_site_fract_x
_atom_site_fract_y
_atom_site_fract_z
_atom_site_occupancy
Al1 0.2393 0.2393 0.2355 1
Al2 0.7607 0.7607 0.7645 1
Zn1 0.0000 0.0000 0.5000 1
Ni1 0.5000 0.5000 0.0000 1
```